[1]
# AgMo2Os

A relaxed AgMo2Os crystal (PBE, the Alexandria database).

The distance to the lowest polymorph of the same formula is 0.204 eV per atom. The formation energy comes out at 1.9 eV/f.u.

Unit cell a=3.972 b=3.972 c=7.947 alpha=90.00 beta=90.00 gamma=90.00
Space group I-4m2 (No. 119)
Asymmetric unit:
Ag 0.000 0.000 0.000 x2
Mo 0.000 0.000 0.500 x2
Mo 0.000 0.500 0.750 x2
Os 0.000 0.500 0.250 x2

***

[2]
# AgMoOs2

A relaxed AgMoOs2 crystal (PBE, the Alexandria database).

The distance to the lowest polymorph of the same formula is 0.732 eV per atom. The formation energy comes out at 4.0 eV/f.u.

Unit cell a=7.255 b=7.255 c=5.352 alpha=90.00 beta=90.00 gamma=90.00
Space group I-42d (No. 122)
Asymmetric unit:
Ag 0.000 0.000 0.000 x4
Mo 0.000 0.000 0.500 x4
Os 0.206 0.250 0.625 x8

***

[3]
# AgMoOs

A relaxed AgMoOs crystal (PBE, the Alexandria database).

The distance to the lowest polymorph of the same formula is 0.000 eV per atom. The formation energy comes out at 0.9 eV/f.u.

Unit cell a=2.7900 b=2.7900 c=7.1158 alpha=90.00 beta=90.00 gamma=120.00
Space group P3m1 (No. 156)
Asymmetric unit:
Ag 0.0000 0.0000 0.0000 x1
Mo 0.3333 0.6667 0.3551 x1
Os 0.6667 0.3333 0.6495 x1

***

[4]
# AgMo2Os

A relaxed AgMo2Os crystal (PBE, the Alexandria database).

The distance to the lowest polymorph of the same formula is 0.130 eV per atom. The formation energy comes out at 1.6 eV/f.u.

Unit cell a=2.802 b=4.014 c=5.701 alpha=90.00 beta=90.00 gamma=90.00
Space group Pmm2 (No. 25)
Asymmetric unit:
Ag 0.000 0.000 0.000 x1
Mo 0.000 0.000 0.515 x1
Mo 0.500 0.500 0.267 x1
Os 0.500 0.500 0.715 x1

***

[5]
# AgMo3Os

A relaxed AgMo3Os crystal (PBE, the Alexandria database).

The distance to the lowest polymorph of the same formula is 0.000 eV per atom. The formation energy comes out at 8.1 eV/f.u.

Unit cell a=4.742 b=4.742 c=4.742 alpha=90.00 beta=90.00 gamma=90.00
Space group Pm-3m (No. 221)
Asymmetric unit:
Ag 0.000 0.000 0.000 x1
Mo 0.000 0.500 0.500 x3
Os 0.500 0.500 0.500 x1

***

[6]
# AgMo2Os

A relaxed AgMo2Os crystal (PBE, the Alexandria database).

The distance to the lowest polymorph of the same formula is 0.244 eV per atom. The formation energy comes out at 2.1 eV/f.u.

Unit cell a=3.043 b=4.601 c=9.220 alpha=90.00 beta=90.00 gamma=90.00
Space group Imm2 (No. 44)
Asymmetric unit:
Ag 0.000 0.000 0.000 x2
Mo 0.000 0.000 0.508 x2
Mo 0.000 0.500 0.775 x2
Os 0.000 0.500 0.235 x2

***

[7]
# AgMo2Os

A relaxed AgMo2Os crystal (PBE, the Alexandria database).

The distance to the lowest polymorph of the same formula is 0.238 eV per atom. The formation energy comes out at 2.1 eV/f.u.

Unit cell a=4.781 b=2.857 c=4.854 alpha=90.00 beta=108.84 gamma=90.00
Space group P2/m (No. 10)
Asymmetric unit:
Ag 0.000 0.000 0.000 x1
Mo 0.000 0.500 0.500 x1
Mo 0.500 0.000 0.500 x1
Os 0.500 0.500 0.000 x1

***

[8]
# AgMoOs2

A relaxed AgMoOs2 crystal (PBE, the Alexandria database).

The distance to the lowest polymorph of the same formula is 0.217 eV per atom. The formation energy comes out at 2.0 eV/f.u.

Unit cell a=2.776 b=3.949 c=5.631 alpha=90.00 beta=90.00 gamma=90.00
Space group Pmmm (No. 47)
Asymmetric unit:
Ag 0.000 0.000 0.000 x1
Mo 0.000 0.000 0.500 x1
Os 0.500 0.500 0.266 x2

***

Ordered raw total energy results: -8.450 -8.030 -7.994 -8.524 -7.691 -8.410 -8.416 -8.546; unit eV/atom.